Entry 1:
The following is a PBE calculation of a relaxed structure of GdSeF, from the Alexandria database.

```
12
Lattice="6.463 0.000 0.000 0.000 6.463 0.000 0.000 0.000 6.463" Properties=species:S:1:pos:R:3 pbc="T T T"
Gd 0.000 0.000 0.000
Gd 0.000 3.232 3.232
Gd 3.232 0.000 3.232
Gd 3.232 3.232 0.000
Se 1.616 1.616 4.847
Se 1.616 4.847 1.616
Se 4.847 1.616 1.616
Se 4.847 4.847 4.847
F 1.616 1.616 1.616
F 1.616 4.847 4.847
F 4.847 1.616 4.847
F 4.847 4.847 1.616
```

Output
SG: F-43m
Total DFT energy (no corrections): -9.065 eV/atom
V: 270.0 Å³/cell
Formation energy without anion corrections: -748 kJ/mol of formula units
Total magnetization: 6.99 μB per formula unit

=====

Entry 2:
The following is a PBE calculation of a relaxed structure of GdSeF, from the Alexandria database.

```
3
Lattice="4.057 0.000 0.000 -2.029 3.514 0.000 0.000 0.000 4.057" Properties=species:S:1:pos:R:3 pbc="T T T"
Gd 0.000 0.000 0.000
Se 2.029 1.171 2.029
F 0.000 2.342 0.000
```

Output
SG: P-6m2
Total DFT energy (no corrections): -9.325 eV/atom
V: 57.8 Å³/cell
Formation energy without anion corrections: -824 kJ/mol of formula units
Total magnetization: 7.00 μB per formula unit